1.
The following is a DFT calculation (PBE) of crystalline SmThPdRu at its relaxed geometry.

Results
N(E_F): 3.621 states/eV/cell
DFT formation energy: -0.525 eV per atom
energy above the lowest structure with this stoichiometry: 119 meV/atom

The structure in CIF format:
```
data_SmThPdRu
_symmetry_space_group_name_H-M 'P 1'
_symmetry_Int_Tables_number 1
_symmetry_space_group_name_Hall 'P 1'
_cell_length_a 5.031
_cell_length_b 5.031
_cell_length_c 5.031
_cell_angle_alpha 60.00
_cell_angle_beta 60.00
_cell_angle_gamma 60.00
loop_
_atom_site_label
_atom_site_fract_x
_atom_site_fract_y
_atom_site_fract_z
Pd1 0.250 0.250 0.250
Ru1 0.750 0.750 0.750
Th1 0.500 0.500 0.500
Sm1 0.000 0.000 0.000
```

=====

2.
The following is a DFT calculation (PBE) of crystalline SnPd2Ru at its relaxed geometry.

Results
N(E_F): 11.075 states/eV/cell
DFT formation energy: 0.188 eV per atom

The structure in CIF format:
```
data_SnPd2Ru
_symmetry_space_group_name_H-M 'P 1'
_symmetry_Int_Tables_number 1
_symmetry_space_group_name_Hall 'P 1'
_cell_length_a 3.844
_cell_length_b 3.844
_cell_length_c 9.955
_cell_angle_alpha 78.87
_cell_angle_beta 78.87
_cell_angle_gamma 90.00
loop_
_atom_site_label
_atom_site_fract_x
_atom_site_fract_y
_atom_site_fract_z
Ru1 0.500 0.500 0.000
Pd1 0.875 0.868 0.750
Ru2 0.250 0.750 0.500
Pd2 0.132 0.625 0.250
Pd3 0.618 0.125 0.250
Sn1 0.750 0.250 0.500
Sn2 0.000 0.000 0.000
Pd4 0.375 0.382 0.750
```